Entry i
A geometry-optimized SmPuMg structure. Source: the Alexandria database, functional PBE-GGA.

It has space group P3m1 (No. 156), with a = 5.4933 Å, b = 5.4933 Å, c = 3.2060 Å, α = 90.00°, β = 90.00° and γ = 120.00°. The distinct sites, in fractional coordinates, are Sm at (0.0000, 0.0000, 0.0000), Pu at (0.3333, 0.6667, 0.4002) and Mg at (0.6667, 0.3333, 0.6924).

The value obtained for the theoretical density is 8.30 g/cm3.

Entry ii
A geometry-optimized SmPuMg structure. Source: the Alexandria database, functional PBE-GGA.

It has space group I4mm (No. 107), with a = 3.3685 Å, b = 3.3685 Å, c = 14.9606 Å, α = 90.00°, β = 90.00° and γ = 90.00°. The distinct sites, in fractional coordinates, are Sm at (0.0000, 0.0000, 0.0000), Pu at (0.0000, 0.0000, 0.3259) and Mg at (0.0000, 0.0000, 0.6651).

The value obtained for the theoretical density is 8.19 g/cm3.

What are the relative energies? In eV/atom: entry i 0.033; entry ii 0.000.

Entry i
A geometry-optimized SmPuMg2 structure. Source: the Alexandria database, functional PBE-GGA.

It has space group P4/mmm (No. 123), with a = 3.2625 Å, b = 3.2625 Å, c = 10.0971 Å, α = 90.00°, β = 90.00° and γ = 90.00°. The distinct sites, in fractional coordinates, are Sm at (0.0000, 0.0000, 0.0000), Pu at (0.0000, 0.0000, 0.5000) and Mg at (0.5000, 0.5000, 0.2518).

The value obtained for the theoretical density is 6.84 g/cm3.

Entry ii
A geometry-optimized SmPuMg2 structure. Source: the Alexandria database, functional PBE-GGA.

It has space group P4/mmm (No. 123), with a = 4.7244 Å, b = 4.7244 Å, c = 4.9071 Å, α = 90.00°, β = 90.00° and γ = 90.00°. The distinct sites, in fractional coordinates, are Sm at (0.0000, 0.0000, 0.0000), Pu at (0.5000, 0.5000, 0.0000) and Mg at (0.0000, 0.5000, 0.5000).

The value obtained for the theoretical density is 6.72 g/cm3.

What are the relative energies? In eV/atom: entry i 0.000; entry ii 0.042.

Entry i
A geometry-optimized PuMg4Sn2 structure. Source: the Alexandria database, functional PBE-GGA.

It has space group Fmmm (No. 69), with a = 6.1200 Å, b = 10.5178 Å, c = 11.2453 Å, α = 90.00°, β = 90.00° and γ = 90.00°. The distinct sites, in fractional coordinates, are Pu at (0.0000, 0.0000, 0.0000), Mg at (0.2500, 0.2500, 0.0000), Mg at (0.2500, 0.2500, 0.2500) and Sn at (0.0000, 0.0000, 0.3628).

The value obtained for the theoretical density is 5.31 g/cm3.

Entry ii
A geometry-optimized PuMg4Sn2 structure. Source: the Alexandria database, functional PBE-GGA.

It has space group P4_2/mnm (No. 136), with a = 8.7050 Å, b = 8.7050 Å, c = 4.5881 Å, α = 90.00°, β = 90.00° and γ = 90.00°. The distinct sites, in fractional coordinates, are Pu at (0.0000, 0.0000, 0.0000), Mg at (0.0978, 0.3472, 0.5000) and Sn at (0.1990, 0.8010, 0.5000).

The value obtained for the theoretical density is 5.53 g/cm3.

What are the relative energies? In eV/atom: entry i 0.306; entry ii 0.000.

Entry i
A geometry-optimized PuMg2Sn3 structure. Source: the Alexandria database, functional PBE-GGA.

It has space group Cmcm (No. 63), with a = 11.4976 Å, b = 10.0460 Å, c = 6.1473 Å, α = 90.00°, β = 90.00° and γ = 90.00°. The distinct sites, in fractional coordinates, are Pu at (0.0000, 0.2089, 0.2500), Mg at (0.1388, 0.5000, 0.0000), Sn at (0.0000, 0.3069, 0.7500) and Sn at (0.1481, 0.0632, 0.7500).

The value obtained for the theoretical density is 6.07 g/cm3.

Entry ii
A geometry-optimized PuMg2Sn3 structure. Source: the Alexandria database, functional PBE-GGA.

It has space group Cmmm (No. 65), with a = 4.6422 Å, b = 14.1632 Å, c = 4.4364 Å, α = 90.00°, β = 90.00° and γ = 90.00°. The distinct sites, in fractional coordinates, are Pu at (0.0000, 0.0000, 0.0000), Mg at (0.0000, 0.3290, 0.0000), Sn at (0.0000, 0.1680, 0.5000) and Sn at (0.0000, 0.5000, 0.5000).

The value obtained for the theoretical density is 7.39 g/cm3.

What are the relative energies? In eV/atom: entry i 0.295; entry ii 0.000.

Entry i
A geometry-optimized PuMgTlSn structure. Source: the Alexandria database, functional PBE-GGA.

It has space group Pmmm (No. 47), with a = 4.4168 Å, b = 4.7033 Å, c = 4.9082 Å, α = 90.00°, β = 90.00° and γ = 90.00°. The distinct sites, in fractional coordinates, are Pu at (0.0000, 0.0000, 0.0000), Mg at (0.0000, 0.5000, 0.5000), Tl at (0.5000, 0.0000, 0.5000) and Sn at (0.5000, 0.5000, 0.0000).

The value obtained for the theoretical density is 9.63 g/cm3.

Entry ii
A geometry-optimized PuMgTlSn structure. Source: the Alexandria database, functional PBE-GGA.

It has space group F-43m (No. 216), with a = 7.4565 Å, b = 7.4565 Å, c = 7.4565 Å, α = 90.00°, β = 90.00° and γ = 90.00°. The distinct sites, in fractional coordinates, are Pu at (0.0000, 0.0000, 0.0000), Mg at (0.0000, 0.0000, 0.5000), Tl at (0.2500, 0.2500, 0.2500) and Sn at (0.2500, 0.2500, 0.7500).

The value obtained for the theoretical density is 9.47 g/cm3.

What are the relative energies? In eV/atom: entry i 0.000; entry ii 0.056.

Entry i
A geometry-optimized Tb2PuMg structure. Source: the Alexandria database, functional PBE-GGA.

It has space group R-3m (No. 166, hexagonal axes), with a = 3.3654 Å, b = 3.3654 Å, c = 36.2447 Å, α = 90.00°, β = 90.00° and γ = 120.00°. The distinct sites, in fractional coordinates, are Tb at (0.0000, 0.0000, 0.0909), Pu at (0.0000, 0.0000, 0.0000) and Mg at (0.0000, 0.0000, 0.5000).

The value obtained for the theoretical density is 8.21 g/cm3.

Entry ii
A geometry-optimized Tb2PuMg structure. Source: the Alexandria database, functional PBE-GGA.

It has space group P4/mmm (No. 123), with a = 3.4746 Å, b = 3.4746 Å, c = 9.4495 Å, α = 90.00°, β = 90.00° and γ = 90.00°. The distinct sites, in fractional coordinates, are Tb at (0.0000, 0.0000, 0.2440), Pu at (0.5000, 0.5000, 0.5000) and Mg at (0.5000, 0.5000, 0.0000).

The value obtained for the theoretical density is 8.53 g/cm3.

What are the relative energies? In eV/atom: entry i 0.238; entry ii 0.000.